1.
A plane-wave DFT calculation with PBE was carried out for a geometry-optimized ZnFeCoPb structure.

Cell and atoms, written as POSCAR:
```
ZnFeCoPb
1.0
0.000 3.055 3.055
3.055 0.000 3.055
3.055 3.055 0.000
Zn Fe Co Pb
1 1 1 1
direct
0.000 0.000 0.000
0.250 0.250 0.250
0.750 0.750 0.750
0.500 0.500 0.500
```

Properties
relative energy among the computed polymorphs: 0.000 eV/atom
size of the total moment: 0.54 μB/f.u.
total DFT energy (no corrections): -18.6 eV per cell
volume: 57 Å³ per cell

2.
A plane-wave DFT calculation with PBE was carried out for a geometry-optimized LiNbInFe structure.

Cell and atoms, written as POSCAR:
```
LiNbInFe
1.0
0.000 3.108 3.108
3.108 0.000 3.108
3.108 3.108 0.000
Li Nb In Fe
1 1 1 1
direct
0.000 0.000 0.000
0.750 0.750 0.750
0.250 0.250 0.250
0.500 0.500 0.500
```

Properties
relative energy among the computed polymorphs: 0.000 eV/atom
size of the total moment: 0.99 μB/f.u.
total DFT energy (no corrections): -23.1 eV per cell
volume: 60 Å³ per cell

3.
A plane-wave DFT calculation with PBE was carried out for a geometry-optimized Lu2Al3W4N3 structure.

Cell and atoms, written as POSCAR:
```
Lu2Al3W4N3
1.0
4.718 -2.740 0.000
4.718 2.740 0.000
-3.166 0.000 13.331
Lu Al W N
4 6 8 6
direct
0.039 0.873 0.614
0.127 0.961 0.886
0.873 0.039 0.114
0.961 0.127 0.386
0.085 0.401 0.750
0.401 0.085 0.250
0.429 0.571 0.250
0.571 0.429 0.750
0.599 0.915 0.750
0.915 0.599 0.250
0.194 0.369 0.078
0.315 0.463 0.423
0.369 0.194 0.578
0.463 0.315 0.923
0.537 0.685 0.077
0.631 0.806 0.422
0.685 0.537 0.577
0.806 0.631 0.922
0.000 0.500 0.500
0.154 0.693 0.000
0.307 0.846 0.500
0.500 0.000 0.000
0.693 0.154 0.500
0.846 0.307 0.000
```

Properties
size of the total moment: 0.00 μB/f.u.
total DFT energy (no corrections): -206.0 eV per cell
volume: 345 Å³ per cell

4.
A plane-wave DFT calculation with PBE was carried out for a geometry-optimized Sc4Co2CN structure.

Cell and atoms, written as POSCAR:
```
Sc4Co2CN
1.0
3.211 0.000 0.000
-1.606 2.781 0.000
0.000 0.000 12.846
Sc Co C N
4 2 1 1
direct
0.333 0.667 0.098
0.333 0.667 0.401
0.667 0.333 0.599
0.667 0.333 0.902
0.333 0.667 0.746
0.667 0.333 0.254
0.000 0.000 0.000
0.000 0.000 0.500
```

Properties
size of the total moment: 0.94 μB/f.u.
total DFT energy (no corrections): -61.1 eV per cell
volume: 115 Å³ per cell